[1]
The following is a DFT calculation (PBE-GGA) of a geometry-optimized SrAgNF2 structure.

Structure (POSCAR):
```
SrAgNF2
1.0
4.512 0.000 0.000
0.000 4.512 0.000
0.000 0.000 4.060
Sr Ag N F
1 1 1 2
direct
0.000 0.000 0.000
0.500 0.500 0.500
0.500 0.500 0.000
0.000 0.500 0.500
0.500 0.000 0.500
```

SG: P4/mmm, No. 123
Volume in Å³ per cell: 82.64
Final energy in eV per cell: -21.85
Crystal system: tetragonal

[2]
The following is a DFT calculation (PBE-GGA) of a geometry-optimized LaPr4Nd2Ho2 structure.

Structure (POSCAR):
```
LaPr4Nd2Ho2
1.0
7.792 -2.599 0.000
7.792 2.599 0.000
-2.598 0.000 7.772
La Pr Nd Ho
1 4 2 2
direct
0.000 0.000 0.000
0.222 0.222 0.329
0.445 0.445 0.668
0.555 0.555 0.332
0.778 0.778 0.671
0.112 0.112 0.668
0.888 0.888 0.332
0.331 0.331 0.001
0.669 0.669 0.999
```

SG: C2/m, No. 12
Volume in Å³ per cell: 314.79
Final energy in eV per cell: -42.56
ΔH_f (0 K) in eV/atom: 0.019
Crystal system: monoclinic

[3]
The following is a DFT calculation (PBE-GGA) of a geometry-optimized Hf6Sn3Au structure.

Structure (POSCAR):
```
Hf6Sn3Au
1.0
4.652 -8.277 0.000
4.652 8.277 0.000
0.000 0.000 5.805
Hf Sn Au
12 6 2
direct
0.010 0.990 0.500
0.085 0.575 0.526
0.239 0.385 0.232
0.278 0.722 0.080
0.385 0.239 0.732
0.425 0.915 0.526
0.575 0.085 0.026
0.615 0.761 0.232
0.722 0.278 0.580
0.761 0.615 0.732
0.915 0.425 0.026
0.990 0.010 0.000
0.081 0.296 0.730
0.296 0.081 0.230
0.417 0.583 0.731
0.583 0.417 0.231
0.704 0.919 0.730
0.919 0.704 0.230
0.147 0.853 0.790
0.853 0.147 0.290
```

SG: Cmc2_1, No. 36
Volume in Å³ per cell: 447.12
Final energy in eV per cell: -153.03
ΔH_f (0 K) in eV/atom: -0.151
Crystal system: orthorhombic

[4]
The following is a DFT calculation (PBE-GGA) of a geometry-optimized K2Bi2Au structure.

Structure (POSCAR):
```
K2Bi2Au
1.0
6.206 -2.560 0.000
6.206 2.560 0.000
-6.108 0.000 10.901
K Bi Au
4 4 2
direct
0.080 0.080 0.383
0.323 0.323 0.820
0.677 0.677 0.180
0.920 0.920 0.617
0.103 0.103 0.957
0.376 0.376 0.385
0.624 0.624 0.615
0.897 0.897 0.043
0.378 0.378 0.154
0.622 0.622 0.846
```

SG: C2/m, No. 12
Volume in Å³ per cell: 346.42
Final energy in eV per cell: -29.67
ΔH_f (0 K) in eV/atom: -0.320
Crystal system: monoclinic

[5]
The following is a DFT calculation (PBE-GGA) of a geometry-optimized TbNd3Pu2S6 structure.

Structure (POSCAR):
```
TbNd3Pu2S6
1.0
3.462 -5.997 0.000
3.462 5.997 0.000
-2.304 0.000 6.580
Tb Nd Pu S
1 3 2 6
direct
0.000 0.000 0.000
0.167 0.833 0.500
0.500 0.500 0.500
0.833 0.167 0.500
0.333 0.667 0.000
0.667 0.333 0.000
0.080 0.413 0.239
0.253 0.253 0.760
0.413 0.080 0.239
0.587 0.920 0.761
0.747 0.747 0.240
0.920 0.587 0.761
```

SG: C2/m, No. 12
Volume in Å³ per cell: 273.23
Final energy in eV per cell: -95.81
Crystal system: monoclinic

[6]
The following is a DFT calculation (PBE-GGA) of a geometry-optimized NaHoTm4S8 structure.

Structure (POSCAR):
```
NaHoTm4S8
1.0
3.998 2.308 6.555
-3.998 2.308 6.555
0.000 -4.616 6.555
Na Ho Tm S
1 1 4 8
direct
0.000 0.000 0.000
0.630 0.630 0.630
0.112 0.630 0.630
0.251 0.251 0.251
0.630 0.112 0.630
0.630 0.630 0.112
0.382 0.382 0.852
0.382 0.852 0.382
0.384 0.384 0.384
0.409 0.866 0.866
0.852 0.382 0.382
0.864 0.864 0.864
0.866 0.409 0.866
0.866 0.866 0.409
```

SG: R3m, No. 160
Volume in Å³ per cell: 362.87
Final energy in eV per cell: -84.23
Crystal system: trigonal

[7]
The following is a DFT calculation (PBE-GGA) of a geometry-optimized ZrNb2Pb structure.

Structure (POSCAR):
```
ZrNb2Pb
1.0
7.856 0.000 0.000
0.000 7.856 0.000
0.000 0.000 5.845
Zr Nb Pb
4 8 4
direct
0.000 0.000 0.000
0.000 0.500 0.250
0.500 0.000 0.750
0.500 0.500 0.500
0.245 0.750 0.625
0.250 0.245 0.375
0.250 0.255 0.875
0.255 0.750 0.125
0.745 0.250 0.125
0.750 0.745 0.875
0.750 0.755 0.375
0.755 0.250 0.625
0.000 0.000 0.500
0.000 0.500 0.750
0.500 0.000 0.250
0.500 0.500 0.000
```

SG: I-42d, No. 122
Volume in Å³ per cell: 360.76
Final energy in eV per cell: -118.08
ΔH_f (0 K) in eV/atom: 0.719
Crystal system: tetragonal

[8]
The following is a DFT calculation (PBE-GGA) of a geometry-optimized Na2GaHgAu structure.

Structure (POSCAR):
```
Na2GaHgAu
1.0
5.575 0.000 0.000
0.000 5.575 0.000
0.000 0.000 5.275
Na Ga Hg Au
2 1 1 1
direct
0.000 0.500 0.000
0.500 0.000 0.000
0.000 0.000 0.500
0.500 0.500 0.000
0.500 0.500 0.500
```

SG: P4/mmm, No. 123
Volume in Å³ per cell: 163.95
Final energy in eV per cell: -8.13
ΔH_f (0 K) in eV/atom: 0.224
Crystal system: tetragonal